Entry from Alexandria via LeMat-Bulk: a relaxed Hf6TlPb crystal (PBE).

The structure belongs to space group P4/mmm (No. 123); the cell edges are 4.453, 4.453 and 8.932 Å and the angles 90.00°, 90.00° and 90.00°. Symmetry generates all atoms from Hf at (0.000, 0.000, 0.000), Hf at (0.000, 0.000, 0.500), Hf at (0.000, 0.500, 0.248), Tl at (0.500, 0.500, 0.000) and Pb at (0.500, 0.500, 0.500).

The formation energy is 0.011 eV/atom. For the uncorrected energy, the calculation gives -8.2136 eV per atom. As for the magnetization: 0.00 μB/f.u.